[1]
Below is a relaxed structure of Ba2PmP3Pd12, with properties calculated at the GGA-PBE level.

POSCAR file:
```
Ba2PmP3Pd12
1.0
-2.164 -3.602 6.279
-3.370 -6.447 -2.041
4.841 -5.668 1.236
Pd Ba Pm P
12 2 1 3
direct
0.620 0.143 0.143
0.289 0.891 0.289
0.143 0.143 0.620
0.857 0.857 0.380
0.711 0.711 0.109
0.857 0.380 0.857
0.380 0.857 0.857
0.143 0.620 0.143
0.711 0.109 0.711
0.289 0.289 0.891
0.891 0.289 0.289
0.109 0.711 0.711
0.604 0.604 0.604
0.396 0.396 0.396
0.000 0.000 0.000
0.500 0.000 0.000
0.000 0.500 0.000
0.000 0.000 0.500
```

Calculated values
SG: R-3m (166)
DFT formation energy, eV per formula unit: -7.3



[2]
Below is a relaxed structure of BaPmP2Pd4, with properties calculated at the GGA-PBE level.

POSCAR file:
```
BaPmP2Pd4
1.0
4.191 0.000 0.000
0.000 4.191 0.000
0.000 0.000 10.174
Pd Pm P Ba
4 1 2 1
direct
0.500 0.000 0.208
0.000 0.500 0.792
0.500 0.000 0.792
0.000 0.500 0.208
0.000 0.000 0.000
0.500 0.500 0.684
0.500 0.500 0.316
0.000 0.000 0.500
```

Calculated values
SG: P4/mmm (123)
DFT formation energy, eV per formula unit: -5.9



[3]
Below is a relaxed structure of BaPPdPt2, with properties calculated at the GGA-PBE level.

POSCAR file:
```
BaPPdPt2
1.0
-2.012 -2.558 3.440
4.252 -0.712 1.958
-0.542 3.931 2.606
Pt Ba Pd P
2 1 1 1
direct
0.500 0.000 0.000
0.000 0.500 0.000
0.500 0.500 0.500
0.000 0.000 0.500
0.000 0.000 0.000
```

Calculated values
SG: P4/mmm (123)
DFT formation energy, eV per formula unit: -2.9



[4]
Below is a relaxed structure of Ba2P3PdPt12, with properties calculated at the GGA-PBE level.

POSCAR file:
```
Ba2P3PdPt12
1.0
7.919 -0.220 -0.156
3.720 6.994 -0.156
3.720 2.165 6.652
Pt Ba P Pd
12 2 3 1
direct
0.664 0.664 0.091
0.909 0.336 0.336
0.626 0.116 0.116
0.091 0.664 0.664
0.664 0.091 0.664
0.884 0.884 0.374
0.374 0.884 0.884
0.336 0.909 0.336
0.884 0.374 0.884
0.116 0.626 0.116
0.116 0.116 0.626
0.336 0.336 0.909
0.612 0.612 0.612
0.388 0.388 0.388
0.500 0.000 0.000
0.000 0.500 0.000
0.000 0.000 0.500
0.000 0.000 0.000
```

Calculated values
SG: R-3m (166)
DFT formation energy, eV per formula unit: -4.6



[5]
Below is a relaxed structure of Ba2PPd6Pt, with properties calculated at the GGA-PBE level.

POSCAR file:
```
Ba2PPd6Pt
1.0
7.176 0.154 1.128
0.124 6.425 0.582
4.440 3.716 5.761
Pd Pt Ba P
6 1 2 1
direct
0.755 0.245 0.120
0.245 0.755 0.880
0.282 0.232 0.523
0.718 0.768 0.477
0.768 0.717 0.038
0.232 0.283 0.962
0.500 0.500 0.000
0.780 0.220 0.554
0.220 0.780 0.446
0.000 0.000 0.000
```

Calculated values
SG: C2/m (12)
DFT formation energy, eV per formula unit: -5.6



[6]
Below is a relaxed structure of BaPPd2Rh, with properties calculated at the GGA-PBE level.

POSCAR file:
```
BaPPd2Rh
1.0
4.775 0.000 0.000
0.000 4.775 0.000
0.000 0.000 4.556
Pd Rh P Ba
2 1 1 1
direct
0.500 0.000 0.000
0.000 0.500 0.000
0.000 0.000 0.500
0.000 0.000 0.000
0.500 0.500 0.500
```

Calculated values
SG: P4/mmm (123)
DFT formation energy, eV per formula unit: -2.6



[7]
Below is a relaxed structure of Ba2P3Pd12Rh, with properties calculated at the GGA-PBE level.

POSCAR file:
```
Ba2P3Pd12Rh
1.0
7.773 -0.416 -0.295
3.477 6.965 -0.295
3.477 2.024 6.671
Pd P Ba Rh
12 3 2 1
direct
0.630 0.119 0.119
0.910 0.320 0.320
0.320 0.320 0.910
0.090 0.680 0.680
0.370 0.881 0.881
0.881 0.881 0.370
0.119 0.119 0.630
0.680 0.090 0.680
0.881 0.370 0.881
0.119 0.630 0.119
0.320 0.910 0.320
0.680 0.680 0.090
0.500 0.000 0.000
0.000 0.000 0.500
0.000 0.500 0.000
0.611 0.611 0.611
0.389 0.389 0.389
0.000 0.000 0.000
```

Calculated values
SG: R-3m (166)
DFT formation energy, eV per formula unit: -3.8



[8]
Below is a relaxed structure of BaPPdRh, with properties calculated at the GGA-PBE level.

POSCAR file:
```
BaPPdRh
1.0
-1.584 -1.393 3.345
-2.868 -1.750 -2.087
6.392 -9.413 -0.892
P Ba Pd Rh
2 2 2 2
direct
0.250 0.250 0.114
0.750 0.750 0.886
0.750 0.750 0.276
0.250 0.250 0.724
0.750 0.250 0.500
0.250 0.750 0.500
0.750 0.250 0.000
0.250 0.750 0.000
```

Calculated values
SG: P4/nmm (129)
DFT formation energy, eV per formula unit: -2.9



[9]
Below is a relaxed structure of BaPPdRu, with properties calculated at the GGA-PBE level.

POSCAR file:
```
BaPPdRu
1.0
-3.511 -1.720 0.898
1.169 -3.357 -1.859
4.349 -3.833 9.659
Ru Pd Ba P
2 2 2 2
direct
0.750 0.250 0.000
0.250 0.750 0.000
0.750 0.250 0.500
0.250 0.750 0.500
0.750 0.750 0.272
0.250 0.250 0.728
0.250 0.250 0.106
0.750 0.750 0.894
```

Calculated values
SG: P4/nmm (129)
DFT formation energy, eV per formula unit: -2.8



[10]
Below is a relaxed structure of BaP2PdS6, with properties calculated at the GGA-PBE level.

POSCAR file:
```
BaP2PdS6
1.0
-0.421 -2.700 5.869
5.231 -2.683 2.712
3.273 4.517 5.884
S Ba Pd P
6 1 1 2
direct
0.097 0.496 0.735
0.672 0.097 0.735
0.496 0.672 0.735
0.328 0.903 0.265
0.903 0.504 0.265
0.504 0.328 0.265
0.000 0.000 0.000
0.500 0.500 0.500
0.253 0.253 0.240
0.747 0.747 0.760
```

Calculated values
Formation energy (no corrections), eV/atom: -0.496
SG: R-3 (148)



[11]
Below is a relaxed structure of Ba3SbP2Pd9, with properties calculated at the GGA-PBE level.

POSCAR file:
```
Ba3SbP2Pd9
1.0
-0.406 5.380 -3.763
-5.474 -3.158 1.825
-0.498 5.149 7.417
Pd Ba P Sb
9 3 2 1
direct
0.691 0.845 0.280
0.845 0.155 0.720
0.500 0.500 0.000
0.309 0.155 0.720
0.000 0.500 0.000
0.155 0.845 0.280
0.155 0.309 0.280
0.845 0.691 0.720
0.500 0.000 0.000
0.333 0.667 0.638
0.667 0.333 0.362
0.000 0.000 0.000
0.333 0.667 0.160
0.667 0.333 0.840
0.000 0.000 0.500
```

Calculated values
Formation energy (no corrections), eV/atom: -0.626
SG: P-3m1 (164)



[12]
Below is a relaxed structure of BaSbPPd2, with properties calculated at the GGA-PBE level.

POSCAR file:
```
BaSbPPd2
1.0
-2.784 -1.157 -3.653
-3.841 -1.832 3.508
-1.949 4.315 0.119
P Sb Pd Ba
1 1 2 1
direct
0.000 0.000 0.000
0.000 0.500 0.000
0.000 0.000 0.500
0.500 0.000 0.000
0.500 0.500 0.500
```

Calculated values
Formation energy (no corrections), eV/atom: -0.386
SG: P4/mmm (123)



Please write out number 12 again, unchanged.
Below is a relaxed structure of BaSbPPd2, with properties calculated at the GGA-PBE level.

POSCAR file:
```
BaSbPPd2
1.0
-2.784 -1.157 -3.653
-3.841 -1.832 3.508
-1.949 4.315 0.119
P Sb Pd Ba
1 1 2 1
direct
0.000 0.000 0.000
0.000 0.500 0.000
0.000 0.000 0.500
0.500 0.000 0.000
0.500 0.500 0.500
```

Calculated values
Formation energy (no corrections), eV/atom: -0.386
SG: P4/mmm (123)



> Number 1 is which compound?

Ba2PmP3Pd12



> What is the formula in the fifth record?

Ba2PPd6Pt



> What is the formula in the eighth record?

BaPPdRh